A plane-wave DFT calculation with PBE-GGA was carried out for a geometry-optimized SmTc4P2 structure.

* crystal system: orthorhombic
* calculated formation energy: -707 meV per atom

a = 4.0244 Å, b = 4.0611 Å, c = 7.1431 Å
α = 106.52°, β = 90.00°, γ = 90.00°
Fractional positions:
P 0.5000 0.5877 0.1755
P 0.5000 0.4123 0.8245
Tc 0.0000 0.6916 0.3833
Tc 0.5000 0.8161 0.6322
Tc 0.0000 0.3084 0.6167
Tc 0.5000 0.1839 0.3678
Sm 0.0000 0.0000 0.0000